VASP calculation (PBE-GGA) on a relaxed structure of Y4Al2ZnAg.

abc: 5.1279 5.1279 25.1380
angles: 90.00 90.00 120.00
With the nearest neighbours (Å) after each atom.
Space group R-3m (No. 166, hexagonal axes)
One atom of each set of equivalent atoms:
Y1 0.0000 0.0000 0.1237  1 Zn 3.11, 4 Al 3.13-3.17, 3 Ag 3.15
Y2 0.0000 0.0000 0.3737  4 Al 3.12-3.15, 3 Zn 3.13, 1 Ag 3.17
Al1 0.0000 0.0000 0.2497  8 Y 3.12-3.17
Zn1 0.0000 0.0000 0.0000  8 Y 3.11-3.13
Ag1 0.0000 0.0000 0.5000  8 Y 3.15-3.17

The value obtained for the spin magnetization is 0.000 μB/cell. The value obtained for the formation energy is -385 meV per atom. For the energy, the calculation gives -0.18625 hartree per atom.

VASP calculation (PBE-GGA) on a relaxed structure of Y2Al4ZnAg3.

abc: 4.2439 4.2439 11.0235
angles: 90.00 90.00 90.00
With the nearest neighbours (Å) after each atom.
Space group P-4m2 (No. 115)
One atom of each set of equivalent atoms:
Y1 0.0000 0.5000 0.2451  8 Al 3.24-3.52, 6 Ag 3.26-3.44, 2 Zn 3.44
Al1 0.0000 0.0000 0.5000  4 Ag 2.61
Al2 0.0000 0.5000 0.8651  3 Ag 2.50-2.59, 2 Zn 2.59
Al3 0.5000 0.5000 0.5000  4 Ag 2.61
Zn1 0.5000 0.5000 0.0000  4 Al 2.59
Ag1 0.0000 0.0000 0.0000  4 Al 2.59
Ag2 0.0000 0.5000 0.6385  5 Al 2.50-2.61

The value obtained for the spin magnetization is 0.000 μB/cell. The value obtained for the formation energy is -332 meV per atom. For the energy, the calculation gives -0.15083 hartree per atom.

VASP calculation (PBE-GGA) on a relaxed structure of YAlZn3Ag.

abc: 6.1359 12.8720 5.8810
angles: 90.00 90.00 90.00
With the nearest neighbours (Å) after each atom.
Space group Cmcm (No. 63)
One atom of each set of equivalent atoms:
Y1 0.0000 0.1972 0.2500  1 Al 2.89, 2 Ag 2.98, 6 Zn 3.18-3.19
Al1 0.0000 0.4215 0.2500  5 Zn 2.57-2.68
Zn1 0.0000 0.3703 0.7500  1 Al 2.68, 1 Ag 2.69, 4 Zn 2.89
Zn2 0.1993 0.0000 0.0000  1 Zn 2.45, 2 Al 2.57
Ag1 0.0000 0.1611 0.7500  5 Zn 2.69-2.82, 2 Y 2.98

The value obtained for the spin magnetization is 0.000 μB/cell. The value obtained for the formation energy is -70 meV per atom. For the energy, the calculation gives -0.10598 hartree per atom.

VASP calculation (PBE-GGA) on a relaxed structure of YAl2ZnAg.

abc: 4.7642 4.7642 4.8092
angles: 90.00 90.00 90.00
With the nearest neighbours (Å) after each atom.
Space group P4/mmm (No. 123)
One atom of each set of equivalent atoms:
Y1 0.0000 0.0000 0.0000  4 Ag 3.37, 8 Al 3.38
Al1 0.0000 0.5000 0.5000  2 Zn 2.38
Zn1 0.5000 0.5000 0.5000  4 Al 2.38, 2 Ag 2.40
Ag1 0.5000 0.5000 0.0000  2 Zn 2.40

The value obtained for the spin magnetization is 0.000 μB/cell. The value obtained for the formation energy is 135 meV per atom. For the energy, the calculation gives -0.12789 hartree per atom.

VASP calculation (PBE-GGA) on a relaxed structure of YAlZn2Ag5.

abc: 4.8733 4.8733 7.5041
angles: 90.00 90.00 90.00
With the nearest neighbours (Å) after each atom.
Space group P4/mmm (No. 123)
One atom of each set of equivalent atoms:
Y1 0.0000 0.0000 0.0000  12 Ag 3.09-3.45
Al1 0.0000 0.0000 0.5000  8 Ag 3.06
Zn1 0.5000 0.5000 0.3451  1 Zn 2.33, 5 Ag 2.53-2.59
Ag1 0.0000 0.5000 0.2542  2 Zn 2.53
Ag2 0.5000 0.5000 0.0000  2 Zn 2.59

The value obtained for the spin magnetization is 0.000 μB/cell. The value obtained for the formation energy is 55 meV per atom. For the energy, the calculation gives -0.10828 hartree per atom.

VASP calculation (PBE-GGA) on a relaxed structure of YAl2Zn8Ag.

abc: 8.1241 5.1135 10.2139
angles: 90.00 97.25 90.00
With the nearest neighbours (Å) after each atom.
Space group C2/m (No. 12)
One atom of each set of equivalent atoms:
Y1 0.0000 0.0000 0.0000  6 Zn 2.91-3.08, 2 Al 3.09
Al1 0.1551 0.5000 0.8324  8 Zn 2.69-2.91
Zn1 0.1050 0.2468 0.2992  5 Zn 2.52-2.73, 1 Ag 2.64, 2 Al 2.69-2.80
Zn2 0.1620 0.5000 0.5361  5 Zn 2.64-2.73, 3 Ag 2.82-2.88
Zn3 0.1826 0.5000 0.1037  2 Zn 2.53, 1 Al 2.75
Ag1 0.0000 0.0000 0.5000  10 Zn 2.64-2.88

The value obtained for the spin magnetization is 0.000 μB/cell. The value obtained for the formation energy is -52 meV per atom. For the energy, the calculation gives -0.08459 hartree per atom.